[1]
# BaCuTcOs

A geometry-optimized BaCuTcOs structure (PBE-GGA, OQMD via LeMat-Bulk).

Its total moment is 0.356 μB per formula unit. Its relative energy among the computed polymorphs is 0.31 eV per formula unit.

The structure belongs to space group F-43m (No. 216); the cell edges are 6.733, 6.733 and 6.733 Å and the angles 90.00°, 90.00° and 90.00°. The inequivalent atoms are Ba at (0.000, 0.000, 0.000), Cu at (0.250, 0.250, 0.250), Tc at (0.000, 0.000, 0.500) and Os at (0.250, 0.250, 0.750).

***

[2]
# BaCuTcOs

A geometry-optimized BaCuTcOs structure (PBE-GGA, OQMD via LeMat-Bulk).

Its total moment is 0.005 μB per formula unit. Its relative energy among the computed polymorphs is 0.00 eV per formula unit.

The structure belongs to space group F-43m (No. 216); the cell edges are 6.669, 6.669 and 6.669 Å and the angles 90.00°, 90.00° and 90.00°. The inequivalent atoms are Ba at (0.000, 0.000, 0.000), Cu at (0.250, 0.250, 0.750), Tc at (0.250, 0.250, 0.250) and Os at (0.000, 0.000, 0.500).

***

[3]
# BaCuTcOs

A geometry-optimized BaCuTcOs structure (PBE-GGA, OQMD via LeMat-Bulk).

Its total moment is 1.594 μB per formula unit. Its relative energy among the computed polymorphs is 1.52 eV per formula unit.

The structure belongs to space group F-43m (No. 216); the cell edges are 6.637, 6.637 and 6.637 Å and the angles 90.00°, 90.00° and 90.00°. The inequivalent atoms are Ba at (0.000, 0.000, 0.000), Cu at (0.000, 0.000, 0.500), Tc at (0.250, 0.250, 0.750) and Os at (0.250, 0.250, 0.250).

***

[4]
# Ba3CuP

A geometry-optimized Ba3CuP structure (PBE-GGA, OQMD via LeMat-Bulk).

The value obtained for the uncorrected energy is -15.9 eV per cell.

The structure belongs to space group Pm-3m (No. 221); the cell edges are 6.180, 6.180 and 6.180 Å and the angles 90.00°, 90.00° and 90.00°. The inequivalent atoms are Ba at (0.000, 0.000, 0.500), Cu at (0.500, 0.500, 0.500) and P at (0.000, 0.000, 0.000).

***

[5]
# Ba2Cu2SbP

A geometry-optimized Ba2Cu2SbP structure (PBE-GGA, OQMD via LeMat-Bulk).

The value obtained for the uncorrected energy is -24.9 eV per cell.

The structure belongs to space group P-6m2 (No. 187); the cell edges are 4.4440, 4.4440 and 9.4565 Å and the angles 90.00°, 90.00° and 120.00°. The inequivalent atoms are Ba at (0.0000, 0.0000, 0.2356), Cu at (0.3333, 0.6667, 0.0000), Cu at (0.6667, 0.3333, 0.5000), Sb at (0.3333, 0.6667, 0.5000) and P at (0.6667, 0.3333, 0.0000).

***

[6]
# BaSrCu2P2

A geometry-optimized BaSrCu2P2 structure (PBE-GGA, OQMD via LeMat-Bulk).

The value obtained for the uncorrected energy is -26.5 eV per cell.

The structure belongs to space group P-3m1 (No. 164); the cell edges are 4.1750, 4.1750 and 8.8381 Å and the angles 90.00°, 90.00° and 120.00°. The inequivalent atoms are Ba at (0.0000, 0.0000, 0.0000), Sr at (0.0000, 0.0000, 0.5000), Cu at (0.3333, 0.6667, 0.2629) and P at (0.3333, 0.6667, 0.7375).

***

[7]
# Ba2CuPd

A geometry-optimized Ba2CuPd structure (PBE-GGA, OQMD via LeMat-Bulk).

The value obtained for the uncorrected energy is -50.6 eV per cell.

The structure belongs to space group F-43m (No. 216); the cell edges are 7.523, 7.523 and 7.523 Å and the angles 90.00°, 90.00° and 90.00°. The inequivalent atoms are Ba at (0.000, 0.000, 0.000), Ba at (0.250, 0.250, 0.250), Cu at (0.000, 0.000, 0.500) and Pd at (0.250, 0.250, 0.750).

***

[8]
# BaCuPd2

A geometry-optimized BaCuPd2 structure (PBE-GGA, OQMD via LeMat-Bulk).

The value obtained for the uncorrected energy is -63.0 eV per cell.

The structure belongs to space group F-43m (No. 216); the cell edges are 6.966, 6.966 and 6.966 Å and the angles 90.00°, 90.00° and 90.00°. The inequivalent atoms are Ba at (0.000, 0.000, 0.000), Cu at (0.250, 0.250, 0.250), Pd at (0.000, 0.000, 0.500) and Pd at (0.250, 0.250, 0.750).